1.
Compound: CsGaAs
Source: Alexandria via LeMat-Bulk
Functional: PBE
Structure: relaxed

Summary:
excess energy over the best structure of this formula in the dataset	0.43	eV per formula unit
SG	Cmcm, No. 63
formation enthalpy at 0 K	-221	meV/atom
V	206	Å³/cell
calculated total energy	-3.0643	eV/atom

Unit cell a=4.1183 b=5.2181 c=9.8186 alpha=90.00 beta=102.11 gamma=90.00
Closest atoms and distances in Å follow each position.
Element x y z (fractional)
1 Ga 0.4666 0.7500 0.9332  2 As 2.48
2 Ga 0.5334 0.2500 0.0668  2 As 2.48
3 As 0.1049 0.2500 0.2099  2 Ga 2.48
4 As 0.8951 0.7500 0.7901  2 Ga 2.48
5 Cs 0.6753 0.7500 0.3506  4 As 3.59, 3 Ga 3.77-4.01
6 Cs 0.3247 0.2500 0.6494  4 As 3.59, 3 Ga 3.77-4.01

2.
Compound: RhC3Br
Source: Alexandria via LeMat-Bulk
Functional: PBE
Structure: relaxed

Summary:
excess energy over the best structure of this formula in the dataset	5.79	eV per formula unit
uncorrected formation energy	3507	meV per atom
SG	Pm-3m, No. 221
V	57	Å³/cell
calculated total energy	-3.8321	eV/atom

Unit cell a=3.8517 b=3.8517 c=3.8517 alpha=90.00 beta=90.00 gamma=90.00
Closest atoms and distances in Å follow each position.
Element x y z (fractional)
1 C 0.0000 0.5000 0.0000  2 Br 1.93
2 C 0.0000 0.0000 0.5000  2 Br 1.93
3 C 0.5000 0.0000 0.0000  2 Br 1.93
4 Br 0.0000 0.0000 0.0000  6 C 1.93
5 Rh 0.5000 0.5000 0.5000  12 C 2.72

3.
Compound: Te2MoP
Source: Alexandria via LeMat-Bulk
Functional: PBE
Structure: relaxed

Summary:
uncorrected formation energy	380	meV per atom
SG	R-3m, No. 166
V	85	Å³/cell
calculated total energy	-5.2509	eV/atom

Unit cell a=8.5811 b=8.5811 c=8.5811 alpha=23.05 beta=23.05 gamma=23.05
Closest atoms and distances in Å follow each position.
Element x y z (fractional)
1 Te 0.7440 0.7440 0.7440  3 Mo 2.77, 3 P 2.99
2 Te 0.2560 0.2560 0.2560  3 Mo 2.77, 3 P 2.99
3 P 0.5000 0.5000 0.5000  6 Te 2.99
4 Mo 0.0000 0.0000 0.0000  6 Te 2.77

4.
Compound: Co2NiIr4
Source: Alexandria via LeMat-Bulk
Functional: PBE
Structure: relaxed

Summary:
SG	I4/mmm, No. 139
formation enthalpy at 0 K	321	meV/atom
V	99	Å³/cell
calculated total energy	-7.5983	eV/atom

Unit cell a=7.1173 b=5.1489 c=5.1489 alpha=61.47 beta=46.28 gamma=46.28
Closest atoms and distances in Å follow each position.
Element x y z (fractional)
1 Ir 0.5000 0.9999 0.5000  4 Co 2.57, 2 Ni 2.57, 4 Ir 2.63
2 Ir 0.0000 0.5000 0.9999  4 Co 2.57, 2 Ni 2.57, 4 Ir 2.63
3 Ir 0.0000 0.0001 0.5000  4 Co 2.57, 2 Ni 2.57, 4 Ir 2.63
4 Ir 0.5000 0.5000 0.0001  4 Co 2.57, 2 Ni 2.57, 4 Ir 2.63
5 Co 0.5000 0.5000 0.5000  8 Ir 2.57, 2 Ni 2.63
6 Co 0.0000 0.5000 0.5000  8 Ir 2.57, 2 Ni 2.63
7 Ni 0.0000 0.0000 0.0000  8 Ir 2.57, 4 Co 2.63

5.
Compound: La2Y5Tm
Source: Alexandria via LeMat-Bulk
Functional: PBE
Structure: relaxed

Summary:
excess energy over the best structure of this formula in the dataset	0.00	eV per formula unit
SG	Cmcm, No. 63
formation enthalpy at 0 K	133	meV/atom
V	542	Å³/cell
calculated total energy	-5.6975	eV/atom

Unit cell a=5.6808 b=6.6473 c=15.8782 alpha=90.00 beta=90.00 gamma=115.30
Closest atoms and distances in Å follow each position.
Element x y z (fractional)
1 Tm 0.7361 0.4722 0.7500  5 Y 3.31-3.50, 4 La 3.44
2 Tm 0.2639 0.5278 0.2500  5 Y 3.31-3.50, 4 La 3.44
3 Y 0.4606 0.9213 0.7500  1 Tm 3.31, 2 La 3.52, 2 Y 3.70
4 Y 0.6163 0.2327 0.9509  1 Y 3.20, 3 La 3.33-3.48, 1 Tm 3.50
5 Y 0.6163 0.2327 0.5491  1 Y 3.20, 3 La 3.33-3.48, 1 Tm 3.50
6 Y 0.0807 0.1614 0.4080  1 Tm 3.34, 4 Y 3.51-3.70, 1 La 3.61
7 Y 0.5394 0.0787 0.2500  1 Tm 3.31, 2 La 3.52, 2 Y 3.70
8 Y 0.3837 0.7673 0.4509  1 Y 3.20, 3 La 3.33-3.48, 1 Tm 3.50
9 Y 0.9193 0.8386 0.9080  1 Tm 3.34, 4 Y 3.51-3.70, 1 La 3.61
10 Y 0.9193 0.8386 0.5920  1 Tm 3.34, 4 Y 3.51-3.70, 1 La 3.61
11 Y 0.0807 0.1614 0.0920  1 Tm 3.34, 4 Y 3.51-3.70, 1 La 3.61
12 Y 0.3837 0.7673 0.0491  1 Y 3.20, 3 La 3.33-3.48, 1 Tm 3.50
13 La 0.2152 0.4303 0.6293  5 Y 3.33-3.61, 2 Tm 3.44
14 La 0.2152 0.4303 0.8707  5 Y 3.33-3.61, 2 Tm 3.44
15 La 0.7848 0.5697 0.1293  5 Y 3.33-3.61, 2 Tm 3.44
16 La 0.7848 0.5697 0.3707  5 Y 3.33-3.61, 2 Tm 3.44

6.
Compound: Pr2BePd
Source: Alexandria via LeMat-Bulk
Functional: PBE
Structure: relaxed

Summary:
excess energy over the best structure of this formula in the dataset	2.26	eV per formula unit
SG	R-3m, No. 166
formation enthalpy at 0 K	329	meV/atom
V	101	Å³/cell
calculated total energy	-4.2906	eV/atom

Unit cell a=3.4486 b=3.4486 c=9.9643 alpha=80.03 beta=80.03 gamma=60.00
Closest atoms and distances in Å follow each position.
Element x y z (fractional)
1 Pr 0.0944 0.0944 0.7167  1 Pd 2.77, 3 Be 2.91
2 Pr 0.9056 0.9056 0.2833  1 Pd 2.77, 3 Be 2.91
3 Be 0.5000 0.5000 0.5000  6 Pr 2.91
4 Pd 0.0000 0.0000 0.0000  2 Pr 2.77